[1]
# Sr4Pa3AlN8 (PBE, relaxed)
data_Sr4Pa3AlN8
_cell_length_a 12.251
_cell_length_b 7.046
_cell_length_c 7.227
_cell_angle_alpha 90.00
_cell_angle_beta 124.23
_cell_angle_gamma 90.00
_space_group_name_H-M_alt 'C 1 2/m 1'
_space_group_IT_number 12
_space_group_name_Hall '-C 2y'
loop_
_atom_site_label
_atom_site_type_symbol
_atom_site_fract_x
_atom_site_fract_y
_atom_site_fract_z
Sr1 Sr 0.000 0.000 0.000
Sr2 Sr 0.000 0.500 0.000
Sr3 Sr 0.250 0.250 0.000
Pa1 Pa 0.000 0.000 0.500
Pa2 Pa 0.250 0.250 0.500
Al1 Al 0.000 0.500 0.500
N1 N 0.018 0.252 0.306
N2 N 0.232 0.000 0.696
N3 N 0.234 0.500 0.697
# ΔE_f (raw), eV per atom: -1.147

[2]
# Pa2TaAlN6 (PBE, relaxed)
data_Pa2TaAlN6
_cell_length_a 5.243
_cell_length_b 5.243
_cell_length_c 4.887
_cell_angle_alpha 90.00
_cell_angle_beta 90.00
_cell_angle_gamma 90.00
_space_group_name_H-M_alt 'P 4 m m'
_space_group_IT_number 99
_space_group_name_Hall 'P 4 -2'
loop_
_atom_site_label
_atom_site_type_symbol
_atom_site_fract_x
_atom_site_fract_y
_atom_site_fract_z
Pa1 Pa 0.000 0.500 0.000
Ta1 Ta 0.000 0.000 0.584
Al1 Al 0.500 0.500 0.588
N1 N 0.000 0.000 0.190
N2 N 0.253 0.253 0.737
N3 N 0.500 0.500 0.203
# ΔE_f (raw), eV per atom: -1.209

[3]
# Pa2TaAlN5 (PBE, relaxed)
data_Pa2TaAlN5
_cell_length_a 3.258
_cell_length_b 13.537
_cell_length_c 9.923
_cell_angle_alpha 90.00
_cell_angle_beta 90.00
_cell_angle_gamma 90.00
_space_group_name_H-M_alt 'C m c 21'
_space_group_IT_number 36
_space_group_name_Hall 'C 2c -2'
loop_
_atom_site_label
_atom_site_type_symbol
_atom_site_fract_x
_atom_site_fract_y
_atom_site_fract_z
Pa1 Pa 0.000 0.118 0.000
Pa2 Pa 0.000 0.134 0.592
Ta1 Ta 0.000 0.212 0.304
Al1 Al 0.000 0.488 0.777
N1 N 0.000 0.052 0.348
N2 N 0.000 0.289 0.951
N3 N 0.000 0.308 0.662
N4 N 0.000 0.367 0.306
N5 N 0.000 0.497 0.084
# ΔE_f (raw), eV per atom: -1.370

[4]
# Pa2AlVN5 (PBE, relaxed)
data_Pa2AlVN5
_cell_length_a 3.316
_cell_length_b 13.397
_cell_length_c 9.462
_cell_angle_alpha 90.00
_cell_angle_beta 90.00
_cell_angle_gamma 90.00
_space_group_name_H-M_alt 'C m c 21'
_space_group_IT_number 36
_space_group_name_Hall 'C 2c -2'
loop_
_atom_site_label
_atom_site_type_symbol
_atom_site_fract_x
_atom_site_fract_y
_atom_site_fract_z
Pa1 Pa 0.000 0.124 0.000
Pa2 Pa 0.000 0.134 0.585
Al1 Al 0.000 0.481 0.778
V1 V 0.000 0.216 0.299
N1 N 0.000 0.059 0.340
N2 N 0.000 0.288 0.946
N3 N 0.000 0.300 0.657
N4 N 0.000 0.369 0.307
N5 N 0.000 0.499 0.077
# ΔE_f (raw), eV per atom: -1.322

[5]
# Pa2AlZnN5 (PBE, relaxed)
data_Pa2AlZnN5
_cell_length_a 3.381
_cell_length_b 13.464
_cell_length_c 9.666
_cell_angle_alpha 90.00
_cell_angle_beta 90.00
_cell_angle_gamma 90.00
_space_group_name_H-M_alt 'C m c 21'
_space_group_IT_number 36
_space_group_name_Hall 'C 2c -2'
loop_
_atom_site_label
_atom_site_type_symbol
_atom_site_fract_x
_atom_site_fract_y
_atom_site_fract_z
Pa1 Pa 0.000 0.124 0.000
Pa2 Pa 0.000 0.132 0.431
Al1 Al 0.000 0.216 0.721
Zn1 Zn 0.000 0.482 0.213
N1 N 0.000 0.078 0.773
N2 N 0.000 0.291 0.393
N3 N 0.000 0.292 0.083
N4 N 0.000 0.358 0.762
N5 N 0.000 0.496 0.502
# ΔE_f (raw), eV per atom: -1.031

[6]
# ZrPa2AlN5 (PBE, relaxed)
data_ZrPa2AlN5
_cell_length_a 3.321
_cell_length_b 13.564
_cell_length_c 10.076
_cell_angle_alpha 90.00
_cell_angle_beta 90.00
_cell_angle_gamma 90.00
_space_group_name_H-M_alt 'C m c 21'
_space_group_IT_number 36
_space_group_name_Hall 'C 2c -2'
loop_
_atom_site_label
_atom_site_type_symbol
_atom_site_fract_x
_atom_site_fract_y
_atom_site_fract_z
Zr1 Zr 0.000 0.208 0.000
Pa1 Pa 0.000 0.120 0.694
Pa2 Pa 0.000 0.134 0.291
Al1 Al 0.000 0.489 0.478
N1 N 0.000 0.045 0.051
N2 N 0.000 0.290 0.657
N3 N 0.000 0.309 0.351
N4 N 0.000 0.368 0.012
N5 N 0.000 0.492 0.788
# ΔE_f (raw), eV per atom: -1.450

[7]
# AlPbN2 (PBE, relaxed)
data_AlPbN2
_cell_length_a 5.899
_cell_length_b 5.899
_cell_length_c 5.899
_cell_angle_alpha 90.00
_cell_angle_beta 90.00
_cell_angle_gamma 90.00
_space_group_name_H-M_alt 'F m -3 m'
_space_group_IT_number 225
_space_group_name_Hall '-F 4 2 3'
loop_
_atom_site_label
_atom_site_type_symbol
_atom_site_fract_x
_atom_site_fract_y
_atom_site_fract_z
Al1 Al 0.000 0.000 0.000
Pb1 Pb 0.000 0.000 0.500
N1 N 0.250 0.250 0.250
# ΔE_f (raw), eV per atom: 1.235
# Relative energy among the computed polymorphs, eV/atom: 1.3763

[8]
# Al2PbN (PBE, relaxed)
data_Al2PbN
_cell_length_a 5.385
_cell_length_b 5.385
_cell_length_c 10.236
_cell_angle_alpha 90.00
_cell_angle_beta 90.00
_cell_angle_gamma 90.00
_space_group_name_H-M_alt 'I -4 2 d'
_space_group_IT_number 122
_space_group_name_Hall 'I -4 2bw'
loop_
_atom_site_label
_atom_site_type_symbol
_atom_site_fract_x
_atom_site_fract_y
_atom_site_fract_z
Al1 Al 0.106 0.250 0.125
Pb1 Pb 0.000 0.000 0.500
N1 N 0.000 0.000 0.000
# ΔE_f (raw), eV per atom: -0.165

[9]
# Al2Pb3N4 (PBE, relaxed)
data_Al2Pb3N4
_cell_length_a 13.970
_cell_length_b 8.834
_cell_length_c 5.697
_cell_angle_alpha 90.00
_cell_angle_beta 104.68
_cell_angle_gamma 90.00
_space_group_name_H-M_alt 'C 1 2/c 1'
_space_group_IT_number 15
_space_group_name_Hall '-C 2yc'
loop_
_atom_site_label
_atom_site_type_symbol
_atom_site_fract_x
_atom_site_fract_y
_atom_site_fract_z
Al1 Al 0.240 0.104 0.422
Pb1 Pb 0.000 0.369 0.250
Pb2 Pb 0.128 0.251 0.870
N1 N 0.148 0.253 0.475
N2 N 0.241 0.076 0.092
# ΔE_f (raw), eV per atom: -0.225

[10]
# AlPbN3 (PBE, relaxed)
data_AlPbN3
_cell_length_a 4.284
_cell_length_b 4.284
_cell_length_c 4.284
_cell_angle_alpha 90.00
_cell_angle_beta 90.00
_cell_angle_gamma 90.00
_space_group_name_H-M_alt 'P m -3 m'
_space_group_IT_number 221
_space_group_name_Hall '-P 4 2 3'
loop_
_atom_site_label
_atom_site_type_symbol
_atom_site_fract_x
_atom_site_fract_y
_atom_site_fract_z
Al1 Al 0.000 0.000 0.000
Pb1 Pb 0.500 0.500 0.500
N1 N 0.000 0.500 0.500
# ΔE_f (raw), eV per atom: 2.234

[11]
# AlPbN2 (PBE, relaxed)
data_AlPbN2
_cell_length_a 4.986
_cell_length_b 4.986
_cell_length_c 9.526
_cell_angle_alpha 90.00
_cell_angle_beta 90.00
_cell_angle_gamma 90.00
_space_group_name_H-M_alt 'I -4 2 d'
_space_group_IT_number 122
_space_group_name_Hall 'I -4 2bw'
loop_
_atom_site_label
_atom_site_type_symbol
_atom_site_fract_x
_atom_site_fract_y
_atom_site_fract_z
Al1 Al 0.000 0.000 0.000
Pb1 Pb 0.000 0.000 0.500
N1 N 0.169 0.250 0.125
# ΔE_f (raw), eV per atom: -0.141
# Relative energy among the computed polymorphs, eV/atom: 0.0000

[12]
# AlPbN2 (PBE, relaxed)
data_AlPbN2
_cell_length_a 3.5764
_cell_length_b 3.5764
_cell_length_c 17.9483
_cell_angle_alpha 90.00
_cell_angle_beta 90.00
_cell_angle_gamma 120.00
_space_group_name_H-M_alt 'R -3 m'
_space_group_IT_number 166
_space_group_name_Hall '-R 3 2"'
loop_
_atom_site_label
_atom_site_type_symbol
_atom_site_fract_x
_atom_site_fract_y
_atom_site_fract_z
Al1 Al 0.0000 0.0000 0.0000
Pb1 Pb 0.0000 0.0000 0.5000
N1 N 0.0000 0.0000 0.0995
# ΔE_f (raw), eV per atom: 0.550
# Relative energy among the computed polymorphs, eV/atom: 0.6913

[13]
# AlPbN2 (PBE, relaxed)
data_AlPbN2
_cell_length_a 3.1812
_cell_length_b 3.1812
_cell_length_c 18.6106
_cell_angle_alpha 90.00
_cell_angle_beta 90.00
_cell_angle_gamma 120.00
_space_group_name_H-M_alt 'R -3 m'
_space_group_IT_number 166
_space_group_name_Hall '-R 3 2"'
loop_
_atom_site_label
_atom_site_type_symbol
_atom_site_fract_x
_atom_site_fract_y
_atom_site_fract_z
Al1 Al 0.0000 0.0000 0.0000
Pb1 Pb 0.0000 0.0000 0.5000
N1 N 0.0000 0.0000 0.3836
# ΔE_f (raw), eV per atom: 0.215
# Relative energy among the computed polymorphs, eV/atom: 0.3560

[14]
# AlPbN3 (PBE, relaxed)
data_AlPbN3
_cell_length_a 3.936
_cell_length_b 3.936
_cell_length_c 3.936
_cell_angle_alpha 90.00
_cell_angle_beta 90.00
_cell_angle_gamma 90.00
_space_group_name_H-M_alt 'P m -3 m'
_space_group_IT_number 221
_space_group_name_Hall '-P 4 2 3'
loop_
_atom_site_label
_atom_site_type_symbol
_atom_site_fract_x
_atom_site_fract_y
_atom_site_fract_z
Al1 Al 0.000 0.000 0.000
Pb1 Pb 0.500 0.500 0.500
N1 N 0.000 0.000 0.500
# ΔE_f (raw), eV per atom: 0.857

[15]
# Al2PbN (PBE, relaxed)
data_Al2PbN
_cell_length_a 6.578
_cell_length_b 6.578
_cell_length_c 6.578
_cell_angle_alpha 90.00
_cell_angle_beta 90.00
_cell_angle_gamma 90.00
_space_group_name_H-M_alt 'F m -3 m'
_space_group_IT_number 225
_space_group_name_Hall '-F 4 2 3'
loop_
_atom_site_label
_atom_site_type_symbol
_atom_site_fract_x
_atom_site_fract_y
_atom_site_fract_z
Al1 Al 0.250 0.250 0.250
Pb1 Pb 0.000 0.000 0.000
N1 N 0.000 0.000 0.500
# ΔE_f (raw), eV per atom: 1.170

[16]
# AlRhPbN2 (PBE, relaxed)
data_AlRhPbN2
_cell_length_a 3.832
_cell_length_b 3.832
_cell_length_c 5.142
_cell_angle_alpha 90.00
_cell_angle_beta 90.00
_cell_angle_gamma 90.00
_space_group_name_H-M_alt 'P 4/m m m'
_space_group_IT_number 123
_space_group_name_Hall '-P 4 2'
loop_
_atom_site_label
_atom_site_type_symbol
_atom_site_fract_x
_atom_site_fract_y
_atom_site_fract_z
Al1 Al 0.000 0.000 0.000
Rh1 Rh 0.000 0.000 0.500
Pb1 Pb 0.500 0.500 0.500
N1 N 0.000 0.500 0.000
# ΔE_f (raw), eV per atom: 0.741

[17]
# AlPbS2N (PBE, relaxed)
data_AlPbS2N
_cell_length_a 5.005
_cell_length_b 5.005
_cell_length_c 3.821
_cell_angle_alpha 90.00
_cell_angle_beta 90.00
_cell_angle_gamma 90.00
_space_group_name_H-M_alt 'P 4/m m m'
_space_group_IT_number 123
_space_group_name_Hall '-P 4 2'
loop_
_atom_site_label
_atom_site_type_symbol
_atom_site_fract_x
_atom_site_fract_y
_atom_site_fract_z
Al1 Al 0.000 0.000 0.000
Pb1 Pb 0.500 0.500 0.500
S1 S 0.000 0.500 0.000
N1 N 0.000 0.000 0.500
# ΔE_f (raw), eV per atom: -0.061
# Relative energy among the computed polymorphs, eV/atom: 0.0000

[18]
# AlPbS2N (PBE, relaxed)
data_AlPbS2N
_cell_length_a 5.313
_cell_length_b 5.313
_cell_length_c 4.377
_cell_angle_alpha 90.00
_cell_angle_beta 90.00
_cell_angle_gamma 90.00
_space_group_name_H-M_alt 'P 4/m m m'
_space_group_IT_number 123
_space_group_name_Hall '-P 4 2'
loop_
_atom_site_label
_atom_site_type_symbol
_atom_site_fract_x
_atom_site_fract_y
_atom_site_fract_z
Al1 Al 0.000 0.000 0.000
Pb1 Pb 0.500 0.500 0.500
S1 S 0.000 0.500 0.500
N1 N 0.500 0.500 0.000
# ΔE_f (raw), eV per atom: 1.072
# Relative energy among the computed polymorphs, eV/atom: 1.1330

[19]
# Sr2AlPbN (PBE, relaxed)
data_Sr2AlPbN
_cell_length_a 5.682
_cell_length_b 5.682
_cell_length_c 3.845
_cell_angle_alpha 90.00
_cell_angle_beta 90.00
_cell_angle_gamma 90.00
_space_group_name_H-M_alt 'P 4/m m m'
_space_group_IT_number 123
_space_group_name_Hall '-P 4 2'
loop_
_atom_site_label
_atom_site_type_symbol
_atom_site_fract_x
_atom_site_fract_y
_atom_site_fract_z
Sr1 Sr 0.000 0.500 0.000
Al1 Al 0.000 0.000 0.500
Pb1 Pb 0.500 0.500 0.500
N1 N 0.000 0.000 0.000
# ΔE_f (raw), eV per atom: -0.529

[20]
# AlTe2PbN (PBE, relaxed)
data_AlTe2PbN
_cell_length_a 5.952
_cell_length_b 5.952
_cell_length_c 4.396
_cell_angle_alpha 90.00
_cell_angle_beta 90.00
_cell_angle_gamma 90.00
_space_group_name_H-M_alt 'P 4/m m m'
_space_group_IT_number 123
_space_group_name_Hall '-P 4 2'
loop_
_atom_site_label
_atom_site_type_symbol
_atom_site_fract_x
_atom_site_fract_y
_atom_site_fract_z
Al1 Al 0.000 0.000 0.000
Te1 Te 0.000 0.500 0.500
Pb1 Pb 0.500 0.500 0.500
N1 N 0.500 0.500 0.000
# ΔE_f (raw), eV per atom: 1.076
# Relative energy among the computed polymorphs, eV/atom: 0.9997